Below is crystalline Nd2Sc2CBr4Cl at its relaxed geometry, with properties calculated at the GGA-PBE level.

POSCAR file:
```
Nd2Sc2CBr4Cl
1.0
8.855 -1.862 0.000
8.855 1.862 0.000
-1.970 0.000 7.622
Br C Cl Nd Sc
4 1 1 2 2
direct
0.839 0.839 0.195 Br
0.156 0.156 0.371 Br
0.844 0.844 0.629 Br
0.161 0.161 0.805 Br
0.500 0.500 0.000 C
0.500 0.500 0.500 Cl
0.644 0.644 0.083 Nd
0.356 0.356 0.917 Nd
0.000 0.000 0.195 Sc
0.000 0.000 0.805 Sc
```

E above lowest polymorph   0.0645 eV/atom
Total DFT energy (no corrections)   -53.93 eV per cell